{"formula": "TbPr2OsN4", "functional": "GGA-PBE", "state": "optimized geometry", "formation_energy_uncorrected_kj_per_mol_atoms": -71, "e_tot_ev_per_atom": -8.07, "total_magnetization_mub_per_fu": 0.0, "space_group": "Cmcm, No. 63", "density_g_cm3": 8.9, "lattice": [[1.732, -6.019, 0.000], [1.732, 6.019, 0.000], [0.000, 0.000, 12.300]], "species": ["Tb", "Tb", "Pr", "Pr", "Pr", "Pr", "Os", "Os", "N", "N", "N", "N", "N", "N", "N", "N"], "fractional_positions": [[0.129, 0.871, 0.750], [0.871, 0.129, 0.250], [0.367, 0.633, 0.541], [0.367, 0.633, 0.959], [0.633, 0.367, 0.041], [0.633, 0.367, 0.459], [0.145, 0.855, 0.250], [0.855, 0.145, 0.750], [0.000, 0.000, 0.000], [0.000, 0.000, 0.500], [0.275, 0.725, 0.141], [0.275, 0.725, 0.359], [0.433, 0.567, 0.750], [0.567, 0.433, 0.250], [0.725, 0.275, 0.641], [0.725, 0.275, 0.859]]}